[1]
Entry from Alexandria via LeMat-Bulk: a relaxed structure of Pr12Tc3N5 (GGA-PBE).

For the uncorrected formation energy, the calculation gives -0.4682 eV/atom. The value obtained for the final energy is -6.97 eV/atom. The value obtained for the volume is 2006.15 Å³ per cell.

Cell lengths 13.7614, 13.7614, 13.7614 Å; angles 109.47, 109.47, 109.47 degrees
Sites, in units of the cell vectors:
Pr  0.0255  0.2049  0.1244
Pr  0.0255  0.3206  0.9011
Pr  0.0805  0.7049  0.6794
Pr  0.0805  0.8756  0.4011
Pr  0.0989  0.6244  0.4195
Pr  0.0989  0.9745  0.6794
Pr  0.1244  0.0255  0.2049
Pr  0.1244  0.5989  0.9195
Pr  0.1794  0.2049  0.5805
Pr  0.1794  0.4745  0.5989
Pr  0.2049  0.1244  0.0255
Pr  0.2049  0.5805  0.1794
Pr  0.2951  0.3206  0.9195
Pr  0.2951  0.4745  0.3756
Pr  0.3206  0.9011  0.0255
Pr  0.3206  0.9195  0.2951
Pr  0.3756  0.2951  0.4745
Pr  0.3756  0.5805  0.9011
Pr  0.4011  0.0805  0.8756
Pr  0.4011  0.8206  0.5255
Pr  0.4195  0.0989  0.6244
Pr  0.4195  0.8206  0.7951
Pr  0.4745  0.3756  0.2951
Pr  0.4745  0.5989  0.1794
Pr  0.5255  0.4011  0.8206
Pr  0.5255  0.6244  0.7049
Pr  0.5805  0.1794  0.2049
Pr  0.5805  0.9011  0.3756
Pr  0.5989  0.1794  0.4745
Pr  0.5989  0.9195  0.1244
Pr  0.6244  0.4195  0.0989
Pr  0.6244  0.7049  0.5255
Pr  0.6794  0.0805  0.7049
Pr  0.6794  0.0989  0.9745
Pr  0.7049  0.5255  0.6244
Pr  0.7049  0.6794  0.0805
Pr  0.7951  0.4195  0.8206
Pr  0.7951  0.8756  0.9745
Pr  0.8206  0.5255  0.4011
Pr  0.8206  0.7951  0.4195
Pr  0.8756  0.4011  0.0805
Pr  0.8756  0.9745  0.7951
Pr  0.9011  0.0255  0.3206
Pr  0.9011  0.3756  0.5805
Pr  0.9195  0.1244  0.5989
Pr  0.9195  0.2951  0.3206
Pr  0.9745  0.6794  0.0989
Pr  0.9745  0.7951  0.8756
Tc  0.1250  0.2500  0.3750
Tc  0.1250  0.3750  0.7500
Tc  0.2500  0.3750  0.1250
Tc  0.2500  0.8750  0.6250
Tc  0.3750  0.1250  0.2500
Tc  0.3750  0.7500  0.1250
Tc  0.6250  0.2500  0.8750
Tc  0.6250  0.8750  0.7500
Tc  0.7500  0.1250  0.3750
Tc  0.7500  0.6250  0.8750
Tc  0.8750  0.6250  0.2500
Tc  0.8750  0.7500  0.6250
N  0.0000  0.0000  0.0000
N  0.0000  0.0000  0.5000
N  0.0000  0.5000  0.0000
N  0.0000  0.5000  0.5000
N  0.1250  0.7500  0.8750
N  0.1250  0.8750  0.2500
N  0.2500  0.1250  0.8750
N  0.2500  0.6250  0.3750
N  0.3750  0.2500  0.6250
N  0.3750  0.6250  0.7500
N  0.5000  0.0000  0.0000
N  0.5000  0.0000  0.5000
N  0.5000  0.5000  0.0000
N  0.5000  0.5000  0.5000
N  0.6250  0.3750  0.2500
N  0.6250  0.7500  0.3750
N  0.7500  0.3750  0.6250
N  0.7500  0.8750  0.1250
N  0.8750  0.1250  0.7500
N  0.8750  0.2500  0.1250

[2]
Entry from Alexandria via LeMat-Bulk: a relaxed structure of Pr4Tc3N10 (GGA-PBE).

For the uncorrected formation energy, the calculation gives -0.5644 eV/atom. The value obtained for the final energy is -8.42 eV/atom. The value obtained for the volume is 221.00 Å³ per cell.

Cell lengths 14.4724, 14.4724, 14.4724 Å; angles 164.33, 164.33, 22.23 degrees
Sites, in units of the cell vectors:
Pr  0.0676  0.0676  0.0000
Pr  0.2026  0.2026  0.0000
Pr  0.7974  0.7974  0.0000
Pr  0.9324  0.9324  0.0000
Tc  0.3608  0.3608  0.0000
Tc  0.5000  0.5000  0.0000
Tc  0.6392  0.6392  0.0000
N  0.0000  0.5000  0.5000
N  0.1400  0.6400  0.5000
N  0.2873  0.2873  0.0000
N  0.3600  0.8600  0.5000
N  0.4300  0.4300  0.0000
N  0.5000  0.0000  0.5000
N  0.5700  0.5700  0.0000
N  0.6400  0.1400  0.5000
N  0.7127  0.7127  0.0000
N  0.8600  0.3600  0.5000

[3]
Entry from Alexandria via LeMat-Bulk: a relaxed structure of PrTc2N4 (GGA-PBE).

For the uncorrected formation energy, the calculation gives -0.3414 eV/atom. The value obtained for the final energy is -8.74 eV/atom. The value obtained for the volume is 163.28 Å³ per cell.

Cell lengths 5.2144, 5.2144, 10.0486 Å; angles 90.00, 90.00, 143.30 degrees
Sites, in units of the cell vectors:
Pr  0.1254  0.8746  0.7500
Pr  0.8746  0.1254  0.2500
Tc  0.3855  0.6145  0.5629
Tc  0.3855  0.6145  0.9371
Tc  0.6145  0.3855  0.0629
Tc  0.6145  0.3855  0.4371
N  0.0000  0.0000  0.0000
N  0.0000  0.0000  0.5000
N  0.2572  0.7428  0.1011
N  0.2572  0.7428  0.3989
N  0.4272  0.5728  0.7500
N  0.5728  0.4272  0.2500
N  0.7428  0.2572  0.6011
N  0.7428  0.2572  0.8989

[4]
Entry from Alexandria via LeMat-Bulk: a relaxed structure of PrTcN2 (GGA-PBE).

For the uncorrected formation energy, the calculation gives -0.3380 eV/atom. The value obtained for the final energy is -8.29 eV/atom. As for the excess energy over the best structure of this formula in the dataset: 0.3186 eV per atom. The value obtained for the volume is 56.36 Å³ per cell.

Cell lengths 3.1954, 3.2379, 5.8794 Å; angles 74.19, 74.90, 89.83 degrees
Sites, in units of the cell vectors:
Pr  0.0000  0.0000  0.0000
Tc  0.7659  0.2510  0.4965
N  0.3706  0.3492  0.2752
N  0.6852  0.6496  0.7006

[5]
Entry from Alexandria via LeMat-Bulk: a relaxed structure of PrTcN (GGA-PBE).

For the uncorrected formation energy, the calculation gives -0.2096 eV/atom. The value obtained for the final energy is -8.03 eV/atom. The value obtained for the volume is 51.09 Å³ per cell.

Cell lengths 3.4066, 3.4066, 5.0837 Å; angles 90.00, 90.00, 120.00 degrees
Sites, in units of the cell vectors:
Pr  0.0000  0.0000  0.0000
Tc  0.6667  0.3333  0.5421
N  0.3333  0.6667  0.6725

[6]
Entry from Alexandria via LeMat-Bulk: a relaxed structure of PrTc4N8 (GGA-PBE).

For the uncorrected formation energy, the calculation gives 0.1217 eV/atom. The value obtained for the final energy is -8.56 eV/atom. The value obtained for the volume is 175.15 Å³ per cell.

Cell lengths 6.9348, 6.9348, 6.9348 Å; angles 49.13, 49.13, 49.13 degrees
Sites, in units of the cell vectors:
Pr  0.0000  0.0000  0.0000
Tc  0.0000  0.0000  0.5000
Tc  0.0000  0.5000  0.0000
Tc  0.5000  0.0000  0.0000
Tc  0.5000  0.5000  0.5000
N  0.2313  0.2313  0.2313
N  0.2375  0.7323  0.7323
N  0.2677  0.2677  0.7625
N  0.2677  0.7625  0.2677
N  0.7323  0.2375  0.7323
N  0.7323  0.7323  0.2375
N  0.7625  0.2677  0.2677
N  0.7687  0.7687  0.7687